No. 1
First-principles (GGA-PBE) data for a geometry-optimized LiFe2WC structure, as listed in the Alexandria database.

Unit cell a=3.8747 b=3.8747 c=3.5106 alpha=90.00 beta=90.00 gamma=90.00
With the nearest neighbours (Å) after each atom.
Fractional positions:
Li  0.0000  0.0000  0.0000  2 C 1.76, 4 Fe 1.94
Fe  0.0000  0.5000  0.0000  2 Li 1.94
Fe  0.5000  0.0000  0.0000  2 Li 1.94
W  0.5000  0.5000  0.5000  8 Fe 2.61, 4 C 2.74
C  0.0000  0.0000  0.5000  2 Li 1.76

Values from the calculation:
As for the distance to the lowest polymorph of the same formula: 0.141 eV/atom. The value obtained for the raw total energy is -6.581 eV/atom.

No. 2
First-principles (GGA-PBE) data for a geometry-optimized LiFe2WC structure, as listed in the Alexandria database.

Unit cell a=4.7103 b=4.7103 c=4.0637 alpha=90.00 beta=90.00 gamma=90.00
With the nearest neighbours (Å) after each atom.
Fractional positions:
Li  0.0000  0.0000  0.0000  8 Fe 3.11, 4 C 3.33
Fe  0.0000  0.5000  0.5000  2 W 2.36
Fe  0.5000  0.0000  0.5000  2 W 2.36
W  0.5000  0.5000  0.5000  2 C 2.03
C  0.5000  0.5000  0.0000  2 W 2.03

Values from the calculation:
As for the distance to the lowest polymorph of the same formula: 0.000 eV/atom. The value obtained for the raw total energy is -6.722 eV/atom.

No. 3
First-principles (GGA-PBE) data for a geometry-optimized LiYFeC structure, as listed in the Alexandria database.

Unit cell a=3.4173 b=3.4173 c=10.5863 alpha=90.00 beta=90.00 gamma=90.00
With the nearest neighbours (Å) after each atom.
Fractional positions:
Li  0.2500  0.7500  0.0000  4 Li 2.42
Li  0.7500  0.2500  0.0000  4 Li 2.42
Y  0.2500  0.2500  0.2812  4 C 2.75, 4 Fe 2.88
Y  0.7500  0.7500  0.7188  4 C 2.75, 4 Fe 2.88
Fe  0.2500  0.7500  0.5000  4 C 1.98
Fe  0.7500  0.2500  0.5000  4 C 1.98
C  0.2500  0.2500  0.5954  4 Fe 1.98
C  0.7500  0.7500  0.4046  4 Fe 1.98

Values from the calculation:
The value obtained for the raw total energy is -6.588 eV/atom.

No. 4
First-principles (GGA-PBE) data for a geometry-optimized LiZnFe2C structure, as listed in the Alexandria database.

Unit cell a=3.7014 b=3.7014 c=4.0035 alpha=90.00 beta=90.00 gamma=90.00
With the nearest neighbours (Å) after each atom.
Fractional positions:
Li  0.0000  0.0000  0.0000  2 C 2.00
Zn  0.5000  0.5000  0.0000  4 Li 2.62, 8 Fe 2.73
Fe  0.0000  0.5000  0.5000  2 C 1.85
Fe  0.5000  0.0000  0.5000  2 C 1.85
C  0.0000  0.0000  0.5000  4 Fe 1.85, 2 Li 2.00

Values from the calculation:
The value obtained for the raw total energy is -5.838 eV/atom.

No. 5
First-principles (GGA-PBE) data for a geometry-optimized LuFe2C structure, as listed in the Alexandria database.

Unit cell a=6.5909 b=6.5909 c=6.5909 alpha=27.01 beta=27.01 gamma=27.01
With the nearest neighbours (Å) after each atom.
Fractional positions:
Lu  0.0000  0.0000  0.0000  6 Fe 2.90, 6 Lu 3.08
Fe  0.2127  0.2127  0.2127  3 C 1.98
Fe  0.7873  0.7873  0.7873  3 C 1.98
C  0.5000  0.5000  0.5000  6 Fe 1.98

Values from the calculation:
The value obtained for the raw total energy is -7.449 eV/atom.

No. 6
First-principles (GGA-PBE) data for a geometry-optimized LuTiFe11C structure, as listed in the Alexandria database.

Unit cell a=6.4783 b=6.4783 c=6.4783 alpha=136.52 beta=97.55 gamma=98.23
With the nearest neighbours (Å) after each atom.
Fractional positions:
Lu  0.0000  0.0000  0.0000  2 C 2.40
Ti  0.6256  0.6256  0.0000  1 Fe 2.36
Fe  0.2091  0.4894  0.7196  1 C 1.88
Fe  0.2158  0.7158  0.5000  1 C 1.89
Fe  0.3472  0.3472  0.0000  1 Ti 2.36, 4 Fe 2.59
Fe  0.3490  0.9914  0.3576  9 Fe 2.43-2.67
Fe  0.4909  0.4918  0.4981  9 Fe 2.40-2.61, 1 Ti 2.65
Fe  0.4909  0.9927  0.9991  9 Fe 2.40-2.61, 1 Ti 2.65
Fe  0.6339  0.9914  0.6424  9 Fe 2.43-2.67
Fe  0.7696  0.2696  0.5000  1 C 1.90
Fe  0.7698  0.4894  0.2804  1 C 1.88
Fe  0.9936  0.4918  0.0009  9 Fe 2.40-2.61, 1 Ti 2.65
Fe  0.9936  0.9927  0.5019  9 Fe 2.40-2.61, 1 Ti 2.65
C  0.9932  0.4932  0.5000  4 Fe 1.88-1.90

Values from the calculation:
The value obtained for the raw total energy is -8.305 eV/atom.

No. 7
First-principles (GGA-PBE) data for a geometry-optimized Mg14FeC structure, as listed in the Alexandria database.

Unit cell a=8.3478 b=6.4763 c=6.4763 alpha=75.58 beta=90.00 gamma=90.00
With the nearest neighbours (Å) after each atom.
Fractional positions:
Mg  0.0000  0.0000  0.0000  10 Mg 3.11-3.39
Mg  0.0000  0.4677  0.4677  6 Mg 2.88-3.07
Mg  0.0000  0.5371  0.9203  10 Mg 3.04-3.39
Mg  0.0000  0.9203  0.5371  10 Mg 3.04-3.39
Mg  0.2153  0.2477  0.2477  1 Fe 2.82, 8 Mg 2.88-3.11
Mg  0.3055  0.6132  0.6132  1 Fe 2.75, 3 Mg 2.95-3.04
Mg  0.3219  0.1001  0.7192  1 C 2.26
Mg  0.3219  0.7192  0.1001  1 C 2.26
Mg  0.5000  0.3374  0.9756  1 C 2.25
Mg  0.5000  0.9756  0.3374  1 C 2.25
Mg  0.6781  0.1001  0.7192  1 C 2.26
Mg  0.6781  0.7192  0.1001  1 C 2.26
Mg  0.6945  0.6132  0.6132  1 Fe 2.75, 3 Mg 2.95-3.04
Mg  0.7847  0.2477  0.2477  1 Fe 2.82, 8 Mg 2.88-3.11
Fe  0.5000  0.3967  0.3967  10 Mg 2.75-2.87
C  0.5000  0.9868  0.9868  6 Mg 2.25-2.26

Values from the calculation:
As for the distance to the lowest polymorph of the same formula: 0.000 eV/atom. The value obtained for the raw total energy is -2.286 eV/atom.

No. 8
First-principles (GGA-PBE) data for a geometry-optimized MgFe2C structure, as listed in the Alexandria database.

Unit cell a=5.0251 b=5.0251 c=5.0251 alpha=102.30 beta=102.30 gamma=125.02
With the nearest neighbours (Å) after each atom.
Fractional positions:
Mg  0.0000  0.0000  0.0000  2 C 2.32, 4 Fe 2.50
Mg  0.7500  0.2500  0.5000  2 C 2.32, 4 Fe 2.50
Fe  0.2383  0.6250  0.1133  2 C 1.89
Fe  0.3750  0.4883  0.6133  2 C 1.89
Fe  0.5117  0.1250  0.8867  2 C 1.89
Fe  0.8750  0.7617  0.3867  2 C 1.89
C  0.2500  0.7500  0.5000  4 Fe 1.89
C  0.5000  0.5000  0.0000  4 Fe 1.89

Values from the calculation:
As for the distance to the lowest polymorph of the same formula: 0.000 eV/atom. The value obtained for the raw total energy is -6.605 eV/atom.

No. 9
First-principles (GGA-PBE) data for a geometry-optimized MgFeC3 structure, as listed in the Alexandria database.

Unit cell a=3.7583 b=3.7583 c=3.7583 alpha=90.00 beta=90.00 gamma=90.00
With the nearest neighbours (Å) after each atom.
Fractional positions:
Mg  0.0000  0.0000  0.0000  12 C 2.66
Fe  0.5000  0.5000  0.5000  6 C 1.88
C  0.0000  0.5000  0.5000  2 Fe 1.88
C  0.5000  0.0000  0.5000  2 Fe 1.88
C  0.5000  0.5000  0.0000  2 Fe 1.88

Values from the calculation:
The value obtained for the raw total energy is -5.894 eV/atom.

No. 10
First-principles (GGA-PBE) data for a geometry-optimized Mg14FeC structure, as listed in the Alexandria database.

Unit cell a=6.2102 b=6.2102 c=9.6385 alpha=90.00 beta=90.00 gamma=120.00
With the nearest neighbours (Å) after each atom.
Fractional positions:
Mg  0.0000  0.0000  0.2480  12 Mg 3.00-3.11
Mg  0.0000  0.0000  0.7520  12 Mg 3.00-3.11
Mg  0.0204  0.5102  0.2589  1 C 2.87, 8 Mg 2.92-3.11, 1 Fe 3.01
Mg  0.0204  0.5102  0.7411  1 C 2.87, 8 Mg 2.92-3.11, 1 Fe 3.01
Mg  0.3289  0.1645  0.5000  10 Mg 2.98-3.15, 2 C 3.11
Mg  0.3377  0.1689  0.0000  10 Mg 3.00-3.15, 2 Fe 3.11
Mg  0.4898  0.5102  0.2589  1 C 2.87, 8 Mg 2.92-3.11, 1 Fe 3.01
Mg  0.4898  0.5102  0.7411  1 C 2.87, 8 Mg 2.92-3.11, 1 Fe 3.01
Mg  0.4898  0.9796  0.2589  1 C 2.87, 8 Mg 2.92-3.11, 1 Fe 3.01
Mg  0.4898  0.9796  0.7411  1 C 2.87, 8 Mg 2.92-3.11, 1 Fe 3.01
Mg  0.8311  0.1689  0.0000  10 Mg 3.00-3.15, 2 Fe 3.11
Mg  0.8311  0.6623  0.0000  10 Mg 3.00-3.15, 2 Fe 3.11
Mg  0.8355  0.1645  0.5000  10 Mg 2.98-3.15, 2 C 3.11
Mg  0.8355  0.6711  0.5000  10 Mg 2.98-3.15, 2 C 3.11
Fe  0.3333  0.6667  0.0000  12 Mg 3.01-3.11
C  0.3333  0.6667  0.5000  12 Mg 2.87-3.11

Values from the calculation:
As for the distance to the lowest polymorph of the same formula: 0.112 eV/atom. The value obtained for the raw total energy is -2.174 eV/atom.

No. 11
First-principles (GGA-PBE) data for a geometry-optimized MgFe2C structure, as listed in the Alexandria database.

Unit cell a=3.8424 b=3.8424 c=3.8424 alpha=60.00 beta=60.00 gamma=60.00
With the nearest neighbours (Å) after each atom.
Fractional positions:
Mg  0.0000  0.0000  0.0000  8 Fe 2.35
Fe  0.2500  0.2500  0.2500  4 Mg 2.35, 4 C 2.35
Fe  0.7500  0.7500  0.7500  4 Mg 2.35, 4 C 2.35
C  0.5000  0.5000  0.5000  8 Fe 2.35

Values from the calculation:
As for the distance to the lowest polymorph of the same formula: 0.855 eV/atom. The value obtained for the raw total energy is -5.750 eV/atom.

No. 12
First-principles (GGA-PBE) data for a geometry-optimized Mg2FeC structure, as listed in the Alexandria database.

Unit cell a=6.2105 b=6.2105 c=6.2105 alpha=94.99 beta=94.99 gamma=145.69
With the nearest neighbours (Å) after each atom.
Fractional positions:
Mg  0.3750  0.0423  0.1673  2 C 2.26
Mg  0.7923  0.6250  0.6673  2 C 2.26
Mg  0.8750  0.2077  0.8327  2 C 2.26
Mg  0.9577  0.1250  0.3327  2 C 2.26
Fe  0.2500  0.7500  0.5000  2 C 1.83
Fe  0.5000  0.5000  0.0000  2 C 1.83
C  0.0000  0.0000  0.0000  2 Fe 1.83
C  0.7500  0.2500  0.5000  2 Fe 1.83

Values from the calculation:
The value obtained for the raw total energy is -4.882 eV/atom.

No. 13
First-principles (GGA-PBE) data for a geometry-optimized MgMnFe2C structure, as listed in the Alexandria database.

Unit cell a=3.8297 b=3.8297 c=3.9021 alpha=90.00 beta=90.00 gamma=90.00
With the nearest neighbours (Å) after each atom.
Fractional positions:
Mg  0.0000  0.0000  0.0000  4 Mn 2.71, 8 Fe 2.73
Mn  0.5000  0.5000  0.0000  2 C 1.95
Fe  0.0000  0.5000  0.5000  2 C 1.91
Fe  0.5000  0.0000  0.5000  2 C 1.91
C  0.5000  0.5000  0.5000  4 Fe 1.91, 2 Mn 1.95

Values from the calculation:
The value obtained for the raw total energy is -7.365 eV/atom.

No. 14
First-principles (GGA-PBE) data for a geometry-optimized MgMn2FeC structure, as listed in the Alexandria database.

Unit cell a=3.9336 b=3.9336 c=3.8163 alpha=90.00 beta=90.00 gamma=90.00
With the nearest neighbours (Å) after each atom.
Fractional positions:
Mg  0.0000  0.0000  0.0000  8 Mn 2.74, 4 Fe 2.78
Mn  0.0000  0.5000  0.5000  2 C 1.97
Mn  0.5000  0.0000  0.5000  2 C 1.97
Fe  0.5000  0.5000  0.0000  2 C 1.91
C  0.5000  0.5000  0.5000  2 Fe 1.91, 4 Mn 1.97

Values from the calculation:
The value obtained for the raw total energy is -7.502 eV/atom.

Number 1: calculated formation energy 1.622 eV/atom. Number 2: calculated formation energy 1.481 eV/atom. Number 3: calculated formation energy -0.072 eV/atom. Number 4: calculated formation energy 0.029 eV/atom. Number 5: calculated formation energy 0.218 eV/atom. Number 6: calculated formation energy -0.110 eV/atom. Number 7: calculated formation energy 0.214 eV/atom. Number 8: calculated formation energy 0.331 eV/atom. Number 9: calculated formation energy 1.652 eV/atom. Number 10: calculated formation energy 0.327 eV/atom. Number 11: calculated formation energy 1.186 eV/atom. Number 12: calculated formation energy 0.337 eV/atom. Number 13: calculated formation energy 0.018 eV/atom. Number 14: calculated formation energy 0.022 eV/atom.